VASP calculation (PBE) on an optimized crystal structure of K3SmSc2S6.

Cell: 6.8340 6.8340 7.6797 Å, 98.56 98.56 120.01°
Last column: nearest neighbours and their distance in Å.
Atoms (fractional coordinates):
K 0.0000 0.0000 0.0000  6 S 3.10-3.23
K 0.3360 0.6640 0.0000  6 S 3.12-3.23
K 0.6640 0.3360 0.0000  6 S 3.12-3.23
Sm 0.5000 0.5000 0.5000  6 S 2.80
Sc 0.1670 0.8330 0.5000  6 S 2.64-2.65
Sc 0.8330 0.1670 0.5000  6 S 2.64-2.65
S 0.0834 0.4344 0.3036  2 Sc 2.64-2.65, 1 Sm 2.80
S 0.2145 0.2145 0.6959  2 Sc 2.65, 1 Sm 2.80
S 0.4344 0.0834 0.3036  2 Sc 2.64-2.65, 1 Sm 2.80
S 0.5656 0.9166 0.6964  2 Sc 2.64-2.65, 1 Sm 2.80
S 0.7855 0.7855 0.3041  2 Sc 2.65, 1 Sm 2.80
S 0.9166 0.5656 0.6964  2 Sc 2.64-2.65, 1 Sm 2.80

Output
Magnetization (μB/cell): 0.0
ρ (g cm⁻³): 3.08
Raw formation energy (eV per atom): -1.78
DOS at the Fermi energy (states/eV per cell): 0.0
Calculated volume (Å³/cell): 296.5
Total energy (eV per atom): -5.57